(1)
Density functional theory data (GGA-PBE) for a relaxed Zr2SbPt crystal.

## Properties
crystal system	monoclinic

a = 3.866 Å, b = 4.092 Å, c = 5.743 Å
α = 90.00°, β = 109.61°, γ = 90.00°
Fractional coordinates of all 4 atoms:
Zr 0.000 0.000 0.000
Zr 0.305 0.500 0.609
Sb 0.729 0.000 0.456
Pt 0.554 0.500 0.117

---

(2)
Density functional theory data (GGA-PBE) for a relaxed Zr2SbPt2 crystal.

## Properties
crystal system	tetragonal
energy above the most stable polymorph in this dataset	0.0	meV/atom

a = 7.439 Å, b = 7.439 Å, c = 3.637 Å
α = 90.00°, β = 90.00°, γ = 90.00°
Fractional coordinates of all 10 atoms:
Zr 0.167 0.333 0.000
Zr 0.333 0.833 0.000
Zr 0.667 0.167 0.000
Zr 0.833 0.667 0.000
Sb 0.000 0.000 0.500
Sb 0.500 0.500 0.500
Pt 0.130 0.630 0.500
Pt 0.370 0.130 0.500
Pt 0.630 0.870 0.500
Pt 0.870 0.370 0.500

---

(3)
Density functional theory data (GGA-PBE) for a relaxed Zr2SbPt crystal.

## Properties
crystal system	orthorhombic

a = 5.695 Å, b = 5.695 Å, c = 5.695 Å
α = 140.64°, β = 134.87°, γ = 61.40°
Fractional coordinates of all 4 atoms:
Zr 0.000 0.000 0.000
Zr 0.735 0.235 0.500
Sb 0.464 0.464 0.000
Pt 0.239 0.739 0.500

---

| no. | DOS at the Fermi energy (states/eV per atom) | raw formation energy (eV per atom) |
| --- | --- | --- |
| 1 | 0.93 | -0.78 |
| 2 | 0.42 | -0.87 |
| 3 | 1.00 | -0.69 |